1.
VASP calculation (GGA-PBE) on a relaxed structure of LaPm4Hg4.

Structure (POSCAR):
```
LaPm4Hg4
1.0
9.7305 0.0000 0.0000
0.0000 9.7305 0.0000
0.0000 0.0000 5.7087
La Pm Hg
2 8 8
Cartesian
2.4326 2.4326 1.4272
7.2978 7.2978 4.2815
0.9433 8.1601 3.7540
1.5703 5.8086 0.8996
3.2949 8.7871 0.8996
3.9219 6.4355 3.7540
5.8086 3.2949 1.9547
6.4355 0.9433 4.8091
8.1601 3.9219 4.8091
8.7871 1.5703 1.9547
0.4191 1.4041 4.8039
1.4041 4.4461 3.7591
3.4612 0.4191 3.7591
4.4461 3.4612 4.8039
5.2843 6.2693 0.9048
6.2693 9.3114 1.9495
8.3264 5.2843 1.9495
9.3114 8.3264 0.9048
```

Output
N(E_F)	14.57	states/eV per cell
electronic total energy	-3.063	eV per atom



2.
VASP calculation (GGA-PBE) on a relaxed structure of SmY3Ir.

Structure (POSCAR):
```
SmY3Ir
1.0
5.4545 0.0000 0.0000
0.0000 5.4545 0.0000
0.0000 0.0000 5.4545
Sm Y Ir
1 3 1
Cartesian
0.0000 0.0000 0.0000
0.0000 2.7272 2.7272
2.7272 0.0000 2.7272
2.7272 2.7272 0.0000
2.7272 2.7272 2.7272
```

Output
N(E_F)	7.21	states/eV per cell
electronic total energy	-6.867	eV per atom